[1]
## KNaH4Pd (PBE)

Data for a geometry-optimized KNaH4Pd structure.

```
14
Lattice="5.3135 0.0000 0.0000 0.0000 5.3064 0.0000 -2.6567 0.0000 6.6134" Properties=species:S:1:pos:R:3 pbc="T T T"
Na 0.0000 1.3266 4.7935
K 2.6567 3.9798 5.3518
H 1.3284 0.0000 3.3067
H -1.3284 2.6532 3.3067
Pd 2.6567 1.3266 3.3093
Na 2.6567 3.9798 1.8199
H 0.0000 3.9798 5.0178
H 0.0000 3.9798 1.5768
H 2.6567 1.3266 1.5956
H 2.6567 1.3266 5.0366
H -1.3284 0.0000 3.3067
K 0.0000 1.3266 1.2616
Pd 0.0000 3.9798 3.3041
H 1.3284 2.6532 3.3067
```

- ρ: 3.07 g cm⁻³
- E: -3.220 eV per atom

[2]
## K2NaH6Pt (PBE)

Data for a geometry-optimized K2NaH6Pt structure.

```
10
Lattice="5.8046 0.0000 0.0000 0.0000 5.7771 0.0000 0.0000 -2.8886 5.0031" Properties=species:S:1:pos:R:3 pbc="T T T"
K 1.0399 0.0000 3.3354
H 0.9741 1.1964 0.6907
H 4.8305 1.6922 4.3124
H 0.9741 4.5808 0.6907
H 4.8305 0.0000 1.3814
H 4.8305 -1.6922 4.3124
K 4.7647 2.8886 1.6677
Pt 0.0000 0.0000 0.0000
H 0.9741 2.8886 3.6217
Na 2.9023 0.0000 0.0000
```

- ρ: 2.99 g cm⁻³
- E: -3.270 eV per atom